Run w
First-principles (GGA-PBE) data for a relaxed structure of GdMgAgTe3, as listed in OQMD.

## Properties
Crystal system: monoclinic
Symmetry: P2_1/m, No. 11

a = 8.290 Å, b = 4.202 Å, c = 10.136 Å
α = 90.00°, β = 102.38°, γ = 90.00°
Fractional positions:
1 Te 0.447 0.750 0.653
2 Te 0.100 0.250 0.356
3 Te 0.209 0.250 0.992
4 Te 0.553 0.250 0.347
5 Te 0.900 0.750 0.644
6 Te 0.791 0.750 0.008
7 Mg 0.713 0.250 0.784
8 Mg 0.287 0.750 0.216
9 Ag 0.409 0.750 0.919
10 Ag 0.591 0.250 0.081
11 Gd 0.182 0.250 0.679
12 Gd 0.818 0.750 0.321

---

Run x
First-principles (GGA-PBE) data for a relaxed structure of GdMgAgTe3, as listed in OQMD.

## Properties
Crystal system: orthorhombic
Symmetry: Cmcm, No. 63

a = 7.438 Å, b = 7.438 Å, c = 11.368 Å
α = 90.00°, β = 90.00°, γ = 147.46°
Fractional positions:
1 Gd 0.500 0.500 0.000
2 Gd 0.500 0.500 0.500
3 Ag 0.020 0.980 0.750
4 Ag 0.980 0.020 0.250
5 Te 0.849 0.151 0.069
6 Te 0.614 0.386 0.250
7 Te 0.849 0.151 0.431
8 Te 0.151 0.849 0.931
9 Te 0.151 0.849 0.569
10 Te 0.386 0.614 0.750
11 Mg 0.278 0.722 0.250
12 Mg 0.722 0.278 0.750

---

Energy ordering: run w at the bottom, the next structure 2.5 kJ/mol of atoms above.

---

Run w
First-principles (GGA-PBE) data for a relaxed structure of GdAgPbS3, as listed in OQMD.

## Properties
Crystal system: monoclinic
Symmetry: P2_1/m, No. 11

a = 4.126 Å, b = 11.700 Å, c = 11.808 Å
α = 90.07°, β = 90.02°, γ = 90.00°
Fractional positions:
1 Ag 0.750 0.810 0.755
2 Ag 0.750 0.690 0.256
3 Ag 0.250 0.310 0.744
4 Ag 0.250 0.190 0.245
5 Pb 0.750 0.983 0.164
6 Pb 0.250 0.017 0.836
7 Pb 0.750 0.518 0.664
8 Pb 0.250 0.482 0.336
9 S 0.250 0.155 0.033
10 S 0.750 0.845 0.967
11 S 0.750 0.566 0.087
12 S 0.250 0.828 0.240
13 S 0.250 0.434 0.913
14 S 0.750 0.328 0.260
15 S 0.250 0.672 0.740
16 S 0.250 0.345 0.533
17 S 0.250 0.066 0.413
18 S 0.750 0.172 0.760
19 S 0.750 0.934 0.587
20 S 0.750 0.655 0.467
21 Gd 0.750 0.330 0.025
22 Gd 0.250 0.830 0.475
23 Gd 0.750 0.170 0.525
24 Gd 0.250 0.670 0.975

---

Run x
First-principles (GGA-PBE) data for a relaxed structure of GdAgPbS3, as listed in OQMD.

## Properties
Crystal system: monoclinic
Symmetry: P2_1/m, No. 11

a = 7.520 Å, b = 4.039 Å, c = 9.827 Å
α = 90.00°, β = 105.63°, γ = 90.00°
Fractional positions:
1 S 0.201 0.250 0.949
2 S 0.545 0.250 0.330
3 S 0.065 0.250 0.363
4 S 0.455 0.750 0.670
5 S 0.799 0.750 0.051
6 S 0.935 0.750 0.637
7 Gd 0.798 0.750 0.348
8 Gd 0.202 0.250 0.652
9 Pb 0.220 0.750 0.194
10 Pb 0.780 0.250 0.806
11 Ag 0.605 0.250 0.090
12 Ag 0.395 0.750 0.910

---

Energy ordering: run x at the bottom, the next structure 1.6 kJ/mol of atoms above.

---

Run w
First-principles (GGA-PBE) data for a relaxed structure of GdAgPbS3, as listed in OQMD.

## Properties
Crystal system: orthorhombic
Symmetry: Pnma, No. 62

a = 10.526 Å, b = 4.060 Å, c = 13.217 Å
α = 90.00°, β = 90.00°, γ = 90.00°
Fractional positions:
1 S 0.765 0.750 0.661
2 S 0.534 0.750 0.385
3 S 0.235 0.250 0.339
4 S 0.579 0.250 0.894
5 S 0.421 0.750 0.106
6 S 0.034 0.750 0.115
7 S 0.966 0.250 0.885
8 S 0.921 0.750 0.394
9 S 0.265 0.750 0.839
10 S 0.735 0.250 0.161
11 S 0.466 0.250 0.615
12 S 0.079 0.250 0.606
13 Gd 0.480 0.250 0.239
14 Gd 0.020 0.750 0.739
15 Gd 0.520 0.750 0.761
16 Gd 0.980 0.250 0.261
17 Pb 0.786 0.750 0.002
18 Pb 0.286 0.750 0.498
19 Pb 0.714 0.250 0.502
20 Pb 0.214 0.250 0.998
21 Ag 0.766 0.250 0.780
22 Ag 0.734 0.750 0.280
23 Ag 0.266 0.250 0.720
24 Ag 0.234 0.750 0.220

---

Run x
First-principles (GGA-PBE) data for a relaxed structure of GdAgPbS3, as listed in OQMD.

## Properties
Crystal system: monoclinic
Symmetry: C2/m, No. 12

a = 8.972 Å, b = 8.972 Å, c = 8.407 Å
α = 103.48°, β = 103.48°, γ = 25.64°
Fractional positions:
1 Pb 0.867 0.867 0.926
2 Pb 0.133 0.133 0.074
3 Gd 0.164 0.164 0.588
4 Gd 0.836 0.836 0.412
5 S 0.320 0.320 0.178
6 S 0.680 0.680 0.822
7 S 0.500 0.500 0.000
8 S 0.327 0.327 0.640
9 S 0.673 0.673 0.360
10 S 0.000 0.000 0.500
11 Ag 0.476 0.476 0.288
12 Ag 0.524 0.524 0.712

---

Energy ordering: run x at the bottom, the next structure 1.9 kJ/mol of atoms above.